# BeTcNi4 GGA-PBE relaxed
data_BeTcNi4
_chemical_formula_sum 'Be4 Tc4 Ni16'
_cell_length_a 6.544
_cell_length_b 6.544
_cell_length_c 6.544
_cell_angle_alpha 90.00
_cell_angle_beta 90.00
_cell_angle_gamma 90.00
_space_group_name_H-M_alt 'F -4 3 m'
_space_group_IT_number 216
_space_group_name_Hall 'F -4 2 3'
loop_
_atom_site_label
_atom_site_type_symbol
_atom_site_fract_x
_atom_site_fract_y
_atom_site_fract_z
_atom_site_occupancy
Be1 Be 0.000 0.000 0.000 1
Tc1 Tc 0.250 0.250 0.250 1
Ni1 Ni 0.125 0.125 0.625 1
# * formation energy from the elements: 0.19 eV per atom
# * crystal system: cubic
# * VASP energy: -6.015 eV per atom